TmSnHgBr6 | Alexandria | PBE | optimized geometry; uncorrected formation energy = -1.08 eV/atom; symmetry = P312; calculated total energy = -28.546 eV for the cell shown; crystal system = trigonal; Fermi-level density of states = 6.7 states/eV/cell
1.0
-0.570 -6.005 -3.892
4.741 -1.362 -5.217
5.248 -4.320 5.897
Sn Hg Br Tm
1 1 6 1
Cartesian
5.404 -7.071 -3.125
4.741 -1.362 -5.217
4.488 -4.410 -2.824
6.574 -3.830 0.676
3.384 -5.103 2.580
3.386 -1.905 -0.007
1.342 -5.203 -0.609
4.912 -7.240 -0.342
4.014 -4.616 -0.088

---

VSnHgBr6 | Alexandria | PBE | optimized geometry; uncorrected formation energy = -0.67 eV/atom; symmetry = P312; calculated total energy = -29.516 eV for the cell shown; crystal system = trigonal; Fermi-level density of states = 7.2 states/eV/cell
1.0
-1.932 3.633 5.663
-6.150 -1.318 3.073
3.869 -5.997 5.169
Hg Br V Sn
1 6 1 1
Cartesian
-8.082 2.314 8.736
-1.323 -4.679 5.582
-3.194 -1.586 5.550
-0.704 -2.186 8.013
-0.155 0.215 5.366
-0.868 -2.300 2.982
1.687 -2.822 5.484
-0.760 -2.226 5.496
-3.454 -1.455 8.409

---

YSnHgBr6 | Alexandria | PBE | optimized geometry; uncorrected formation energy = -1.09 eV/atom; symmetry = C2; calculated total energy = -30.586 eV for the cell shown; crystal system = monoclinic; Fermi-level density of states = 6.1 states/eV/cell
1.0
-1.394 3.466 -6.195
-6.775 1.993 -1.593
1.304 7.622 3.969
Br Y Hg Sn
6 1 1 1
Cartesian
-2.438 8.171 -1.801
0.386 6.489 0.492
-2.038 3.108 0.662
-0.487 4.597 -2.715
-4.420 4.906 -2.010
-3.430 6.512 1.705
-2.071 5.632 -0.613
-6.865 13.081 -3.819
-4.794 7.450 -3.206

---

SrHgBr2 | Alexandria | PBE | optimized geometry; uncorrected formation energy = -1.16 eV/atom; symmetry = F-43m; calculated total energy = -9.951 eV for the cell shown; crystal system = cubic; Fermi-level density of states = 0.0 states/eV/cell
1.0
-4.347 -2.420 2.514
0.843 -4.036 3.751
-0.987 0.964 5.401
Sr Br Hg
1 2 1
Cartesian
-3.369 -4.120 8.749
0.000 0.000 0.000
-1.123 -1.373 2.916
-2.246 -2.747 5.833